(1)
First-principles (PBE) data for crystalline CdMoS2 at its relaxed geometry, as listed in Alexandria via LeMat-Bulk.

a = 6.9651 Å, b = 6.9651 Å, c = 6.9651 Å
α = 131.71°, β = 131.71°, γ = 70.69°
With the nearest neighbours (Å) after each atom.
Positions (direct):
Cd (0.0000, 0.0000, 0.0000)  4 S 2.64
Cd (0.7500, 0.2500, 0.5000)  4 S 2.64
Mo (0.2500, 0.7500, 0.5000)  4 S 2.31
Mo (0.5000, 0.5000, 0.0000)  4 S 2.31
S (0.1740, 0.6250, 0.0490)  2 Mo 2.31
S (0.3750, 0.4240, 0.5490)  2 Mo 2.31
S (0.5760, 0.1250, 0.9510)  2 Mo 2.31
S (0.8750, 0.8260, 0.4510)  2 Mo 2.31

Calculated values
Formation energy without anion corrections ... -0.08 eV per atom
SG ... I-42d (122)



(2)
First-principles (PBE) data for crystalline Er3TeP2 at its relaxed geometry, as listed in Alexandria via LeMat-Bulk.

a = 7.8528 Å, b = 7.8528 Å, c = 7.8528 Å
α = 125.42°, β = 87.76°, γ = 117.36°
With the nearest neighbours (Å) after each atom.
Positions (direct):
Er (0.0000, 0.2318, 0.2318)  4 P 2.71-2.95
Er (0.0000, 0.7682, 0.7682)  4 P 2.71-2.95
Er (0.5000, 0.0000, 0.0000)  4 P 2.79
Er (0.5000, 0.2318, 0.7318)  4 P 2.71-2.95
Er (0.5000, 0.5000, 0.5000)  4 P 2.79
Er (0.5000, 0.7682, 0.2682)  4 P 2.71-2.95
Te (0.1652, 0.9152, 0.2500)  6 Er 3.27-3.36
Te (0.8348, 0.0848, 0.7500)  6 Er 3.27-3.36
P (0.2785, 0.7154, 0.5630)  6 Er 2.71-2.95
P (0.3476, 0.2846, 0.0630)  6 Er 2.71-2.95
P (0.6524, 0.7154, 0.9370)  6 Er 2.71-2.95
P (0.7215, 0.2846, 0.4370)  6 Er 2.71-2.95

Calculated values
Formation energy without anion corrections ... -1.10 eV per atom
SG ... Imma (74)



(3)
First-principles (PBE) data for crystalline PmBiP2O8 at its relaxed geometry, as listed in Alexandria via LeMat-Bulk.

a = 5.2906 Å, b = 5.2906 Å, c = 7.3523 Å
α = 90.00°, β = 90.00°, γ = 120.00°
With the nearest neighbours (Å) after each atom.
Positions (direct):
Pm (0.0000, 0.0000, 0.0000)  6 O 2.51
Bi (0.0000, 0.0000, 0.5000)  6 O 2.34
P (0.3333, 0.6667, 0.8048)  4 O 1.53-1.56
P (0.6667, 0.3333, 0.1952)  4 O 1.53-1.56
O (0.1712, 0.3456, 0.7351)  1 P 1.56
O (0.1744, 0.8288, 0.7351)  1 P 1.56
O (0.3333, 0.6667, 0.0126)  1 P 1.53
O (0.3456, 0.1744, 0.2649)  1 P 1.56
O (0.6544, 0.8256, 0.7351)  1 P 1.56
O (0.6667, 0.3333, 0.9874)  1 P 1.53
O (0.8256, 0.1712, 0.2649)  1 P 1.56
O (0.8288, 0.6544, 0.2649)  1 P 1.56

Calculated values
Formation energy without anion corrections ... -2.34 eV per atom
SG ... P-3 (147)



(4)
First-principles (PBE) data for crystalline P4IrSe at its relaxed geometry, as listed in Alexandria via LeMat-Bulk.

a = 5.0869 Å, b = 5.0869 Å, c = 5.0869 Å
α = 60.00°, β = 60.00°, γ = 60.00°
With the nearest neighbours (Å) after each atom.
Positions (direct):
P (0.1245, 0.1245, 0.1245)  6 P 2.53-2.55
P (0.1245, 0.1245, 0.6266)  6 P 2.53-2.55
P (0.1245, 0.6266, 0.1245)  6 P 2.53-2.55
P (0.6266, 0.1245, 0.1245)  6 P 2.53-2.55
Ir (0.5000, 0.5000, 0.5000)  12 P 2.98, 4 Se 3.12
Se (0.7500, 0.7500, 0.7500)  12 P 2.98, 4 Ir 3.12

Calculated values
Formation energy without anion corrections ... 1.03 eV per atom
SG ... F-43m (216)



(5)
First-principles (PBE) data for crystalline CsIn2Ag at its relaxed geometry, as listed in Alexandria via LeMat-Bulk.

a = 4.8898 Å, b = 6.4482 Å, c = 8.5754 Å
α = 90.00°, β = 90.00°, γ = 90.00°
With the nearest neighbours (Å) after each atom.
Positions (direct):
Cs (0.2500, 0.2500, 0.0762)  6 In 3.88-4.18, 4 Ag 3.93-4.32, 4 Cs 4.25
Cs (0.7500, 0.7500, 0.9238)  6 In 3.88-4.18, 4 Ag 3.93-4.32, 4 Cs 4.25
In (0.2500, 0.9999, 0.6262)  3 Ag 2.94-2.95, 4 In 3.22-3.27
In (0.2500, 0.5001, 0.6262)  3 Ag 2.94-2.95, 4 In 3.22-3.27
In (0.7500, 0.0001, 0.3738)  3 Ag 2.94-2.95, 4 In 3.22-3.27
In (0.7500, 0.4999, 0.3738)  3 Ag 2.94-2.95, 4 In 3.22-3.27
Ag (0.2500, 0.7500, 0.3384)  6 In 2.94-2.95
Ag (0.7500, 0.2500, 0.6616)  6 In 2.94-2.95

Calculated values
SG ... Pmmn (59)
DFT total energy ... -2.350 eV/atom



(6)
First-principles (PBE) data for crystalline Cr2MoAsW at its relaxed geometry, as listed in Alexandria via LeMat-Bulk.

a = 4.6804 Å, b = 4.6804 Å, c = 4.7850 Å
α = 90.00°, β = 90.00°, γ = 90.00°
With the nearest neighbours (Å) after each atom.
Positions (direct):
Cr (0.0000, 0.5000, 0.0000)  2 W 2.34
Cr (0.5000, 0.0000, 0.0000)  2 W 2.34
Mo (0.0000, 0.0000, 0.5000)  2 W 2.39
As (0.5000, 0.5000, 0.5000)  4 Mo 3.31, 8 Cr 3.35
W (0.0000, 0.0000, 0.0000)  4 Cr 2.34, 2 Mo 2.39

Calculated values
SG ... P4/mmm (123)
DFT total energy ... -7.903 eV/atom